# AlBiPd3, optimized geometry, DFT GGA-PBE
# Crystal system   cubic
# Energy relative to the elements   0.702 eV/atom
data_AlBiPd3
_chemical_formula_sum 'Al1 Bi1 Pd3'
_symmetry_space_group_name_H-M 'P m -3 m'
_symmetry_Int_Tables_number 221
_symmetry_space_group_name_Hall '-P 4 2 3'
_cell_length_a 5.070
_cell_length_b 5.070
_cell_length_c 5.070
_cell_angle_alpha 90.00
_cell_angle_beta 90.00
_cell_angle_gamma 90.00
loop_
_atom_site_label
_atom_site_type_symbol
_atom_site_fract_x
_atom_site_fract_y
_atom_site_fract_z
Al1 Al 0.000 0.000 0.000
Bi1 Bi 0.500 0.500 0.500
Pd1 Pd 0.000 0.500 0.500